Entry from the Alexandria database: an optimized crystal structure of Mg2ScOs (PBE).

a = 2.806 Å, b = 4.492 Å, c = 5.690 Å
α = 90.00°, β = 90.00°, γ = 90.00°
Fractional positions:
Mg1 0.000 0.000 0.021
Mg2 0.000 0.000 0.479
Os1 0.500 0.500 0.250
Sc1 0.500 0.500 0.750

Properties
The value obtained for the energy above the most stable polymorph in this dataset is 0.188 eV/atom. Its space group is Pmmm. For the calculated volume, the calculation gives 71.7 Å³/cell.

***

Entry from the Alexandria database: an optimized crystal structure of Mg2ScOs (PBE).

a = 5.355 Å, b = 5.355 Å, c = 2.858 Å
α = 90.00°, β = 90.00°, γ = 117.88°
Fractional positions:
Mg1 0.000 0.000 0.000
Mg2 0.500 0.500 0.000
Os1 0.500 0.000 0.500
Sc1 0.000 0.500 0.500

Properties
The value obtained for the energy above the most stable polymorph in this dataset is 0.272 eV/atom. Its space group is Cmmm. For the calculated volume, the calculation gives 72.4 Å³/cell.

***

Entry from the Alexandria database: an optimized crystal structure of MgScOs4 (PBE).

a = 5.212 Å, b = 5.212 Å, c = 5.212 Å
α = 60.00°, β = 60.00°, γ = 60.00°
Fractional positions:
Mg1 0.000 0.000 0.000
Sc1 0.250 0.250 0.250
Os1 0.625 0.625 0.125
Os2 0.625 0.125 0.625
Os3 0.625 0.625 0.625
Os4 0.125 0.625 0.625

Properties
Its space group is F-43m. As for the electronic total energy: -8.8464 eV per atom. For the calculated volume, the calculation gives 100.1 Å³/cell.

***

It is found that the mass density values, taken in the order of the records, are 6.6 6.5 13.8 g cm⁻³.